Entry 1:
# SrCoTc2, optimized geometry, DFT PBE
data_SrCoTc2
_chemical_formula_sum 'Sr4 Co4 Tc8'
_symmetry_space_group_name_H-M 'F -4 3 m'
_symmetry_Int_Tables_number 216
_symmetry_space_group_name_Hall 'F -4 2 3'
_cell_length_a 6.449
_cell_length_b 6.449
_cell_length_c 6.449
_cell_angle_alpha 90.00
_cell_angle_beta 90.00
_cell_angle_gamma 90.00
loop_
_atom_site_label
_atom_site_fract_x
_atom_site_fract_y
_atom_site_fract_z
_atom_site_occupancy
Sr1 0.000 0.000 0.000 1
Co1 0.250 0.250 0.250 1
Tc1 0.000 0.000 0.500 1
Tc2 0.250 0.250 0.750 1
# magnetic moment	0.3647	μB/atom
# E	-104.62	eV/cell
# ρ	8.5	Mg/m³



Entry 2:
# SrCo2Te3, optimized geometry, DFT PBE
data_SrCo2Te3
_chemical_formula_sum 'Sr4 Co8 Te12'
_symmetry_space_group_name_H-M 'C m c m'
_symmetry_Int_Tables_number 63
_symmetry_space_group_name_Hall '-C 2c 2'
_cell_length_a 4.029
_cell_length_b 13.851
_cell_length_c 10.380
_cell_angle_alpha 90.00
_cell_angle_beta 90.00
_cell_angle_gamma 90.00
loop_
_atom_site_label
_atom_site_fract_x
_atom_site_fract_y
_atom_site_fract_z
_atom_site_occupancy
Sr1 0.000 0.237 0.250 1
Co1 0.000 0.000 0.000 1
Co2 0.000 0.457 0.750 1
Te1 0.000 0.063 0.750 1
Te2 0.000 0.377 0.533 1
# magnetic moment	0.2091	μB/atom
# E	-110.34	eV/cell
# ρ	6.7	Mg/m³